Version 1
The following is a DFT calculation (PBE-GGA) of crystalline IrAuSO at its relaxed geometry.

Geometry as CIF:
```
data_IrAuSO
_space_group_name_H-M_alt 'P 1'
_space_group_IT_number 1
_cell_length_a 5.4797
_cell_length_b 5.7487
_cell_length_c 10.6132
_cell_angle_alpha 90.51
_cell_angle_beta 99.91
_cell_angle_gamma 117.50
loop_
_space_group_symop_operation_xyz
'x,y,z'
loop_
_atom_site_label
_atom_site_type_symbol
_atom_site_fract_x
_atom_site_fract_y
_atom_site_fract_z
_atom_site_occupancy
Ir1 Ir 0.0000 0.0000 0.0000 1
Ir2 Ir 0.1334 0.4626 0.1270 1
Ir3 Ir 0.3007 0.4758 0.8905 1
Ir4 Ir 0.4344 0.9382 0.0170 1
Au1 Au 0.4561 0.9641 0.5142 1
Au2 Au 0.4572 0.4625 0.5198 1
Au3 Au 0.9462 0.4575 0.4992 1
Au4 Au 0.9462 0.9552 0.5034 1
S1 S 0.2073 0.8056 0.8086 1
S2 S 0.2274 0.1327 0.2085 1
S3 S 0.6322 0.6572 0.0748 1
S4 S 0.8020 0.2811 0.9422 1
O1 O 0.1700 0.6508 0.2705 1
O2 O 0.2641 0.2876 0.7462 1
O3 O 0.5251 0.1668 0.1964 1
O4 O 0.9095 0.7710 0.8207 1
```

Version 2
The following is a DFT calculation (PBE-GGA) of crystalline IrAuSO at its relaxed geometry.

Geometry as CIF:
```
data_IrAuSO
_space_group_name_H-M_alt 'P 1 21 1'
_space_group_IT_number 4
_cell_length_a 5.2617
_cell_length_b 5.0369
_cell_length_c 9.9501
_cell_angle_alpha 90.00
_cell_angle_beta 90.24
_cell_angle_gamma 90.00
loop_
_space_group_symop_operation_xyz
'x,y,z'
'-x,y+1/2,-z'
loop_
_atom_site_label
_atom_site_type_symbol
_atom_site_fract_x
_atom_site_fract_y
_atom_site_fract_z
_atom_site_occupancy
Ir1 Ir 0.0706 0.0000 0.3740 1
Ir2 Ir 0.4138 0.4149 0.3752 1
Au1 Au 0.0429 0.4314 0.1643 1
Au2 Au 0.3464 0.7102 0.9843 1
S1 S 0.2845 0.6678 0.7388 1
S2 S 0.3447 0.7724 0.2270 1
O1 O 0.1296 0.6327 0.4655 1
O2 O 0.3447 0.1206 0.5065 1
```

Name the most stable of them. version 2.

Version 1
The following is a DFT calculation (PBE-GGA) of crystalline IrAuSeO at its relaxed geometry.

Geometry as CIF:
```
data_IrAuSeO
_space_group_name_H-M_alt 'P m c 21'
_space_group_IT_number 26
_cell_length_a 3.2260
_cell_length_b 7.4608
_cell_length_c 5.8980
_cell_angle_alpha 90.00
_cell_angle_beta 90.00
_cell_angle_gamma 90.00
loop_
_space_group_symop_operation_xyz
'x,y,z'
'-x,-y,z+1/2'
'-x,y,z'
'x,-y,z+1/2'
loop_
_atom_site_label
_atom_site_type_symbol
_atom_site_fract_x
_atom_site_fract_y
_atom_site_fract_z
_atom_site_occupancy
Ir1 Ir 0.0000 0.1646 0.0000 1
Au1 Au 0.5000 0.3338 0.6643 1
Se1 Se 0.5000 0.3276 0.2237 1
O1 O 0.0000 0.0519 0.7006 1
```

Version 2
The following is a DFT calculation (PBE-GGA) of crystalline IrAuSeO at its relaxed geometry.

Geometry as CIF:
```
data_IrAuSeO
_space_group_name_H-M_alt 'P 4/n m m'
_space_group_IT_number 129
_cell_length_a 3.6608
_cell_length_b 3.6608
_cell_length_c 9.4758
_cell_angle_alpha 90.00
_cell_angle_beta 90.00
_cell_angle_gamma 90.00
loop_
_space_group_symop_operation_xyz
'x,y,z'
'-x,-y,-z'
'-y+1/2,x,z'
'y+1/2,-x,-z'
'-x+1/2,-y+1/2,z'
'x+1/2,y+1/2,-z'
'y,-x+1/2,z'
'-y,x+1/2,-z'
'x+1/2,-y,-z'
'-x+1/2,y,z'
'-y,-x,-z'
'y,x,z'
'-x,y+1/2,-z'
'x,-y+1/2,z'
'y+1/2,x+1/2,-z'
'-y+1/2,-x+1/2,z'
loop_
_atom_site_label
_atom_site_type_symbol
_atom_site_fract_x
_atom_site_fract_y
_atom_site_fract_z
_atom_site_occupancy
Ir1 Ir 0.2500 0.2500 0.1277 1
Au1 Au 0.2500 0.7500 0.5000 1
Se1 Se 0.2500 0.2500 0.7476 1
O1 O 0.2500 0.7500 0.0000 1
```

Version 3
The following is a DFT calculation (PBE-GGA) of crystalline IrAuSeO at its relaxed geometry.

Geometry as CIF:
```
data_IrAuSeO
_space_group_name_H-M_alt 'P 1 21/c 1'
_space_group_IT_number 14
_cell_length_a 6.6345
_cell_length_b 6.7268
_cell_length_c 6.1061
_cell_angle_alpha 90.00
_cell_angle_beta 95.45
_cell_angle_gamma 90.00
loop_
_space_group_symop_operation_xyz
'x,y,z'
'-x,-y,-z'
'-x,y+1/2,-z+1/2'
'x,-y+1/2,z+1/2'
loop_
_atom_site_label
_atom_site_type_symbol
_atom_site_fract_x
_atom_site_fract_y
_atom_site_fract_z
_atom_site_occupancy
Ir1 Ir 0.0070 0.1272 0.2677 1
Au1 Au 0.4508 0.7123 0.9641 1
Se1 Se 0.2142 0.1271 0.9645 1
O1 O 0.1326 0.6269 0.9182 1
```

Name the most stable of them. version 3.

Version 1
The following is a DFT calculation (PBE-GGA) of crystalline PrIrAu at its relaxed geometry.

Geometry as CIF:
```
data_PrIrAu
_space_group_name_H-M_alt 'F -4 3 m'
_space_group_IT_number 216
_space_group_name_Hall 'F -4 2 3'
_cell_length_a 6.6654
_cell_length_b 6.6654
_cell_length_c 6.6654
_cell_angle_alpha 90.00
_cell_angle_beta 90.00
_cell_angle_gamma 90.00
loop_
_atom_site_label
_atom_site_type_symbol
_atom_site_fract_x
_atom_site_fract_y
_atom_site_fract_z
_atom_site_occupancy
Pr1 Pr 0.0000 0.0000 0.0000 1
Ir1 Ir 0.2500 0.2500 0.2500 1
Au1 Au 0.0000 0.0000 0.5000 1
```

Version 2
The following is a DFT calculation (PBE-GGA) of crystalline PrIrAu at its relaxed geometry.

Geometry as CIF:
```
data_PrIrAu
_space_group_name_H-M_alt 'F -4 3 m'
_space_group_IT_number 216
_space_group_name_Hall 'F -4 2 3'
_cell_length_a 6.7800
_cell_length_b 6.7800
_cell_length_c 6.7800
_cell_angle_alpha 90.00
_cell_angle_beta 90.00
_cell_angle_gamma 90.00
loop_
_atom_site_label
_atom_site_type_symbol
_atom_site_fract_x
_atom_site_fract_y
_atom_site_fract_z
_atom_site_occupancy
Pr1 Pr 0.0000 0.0000 0.0000 1
Ir1 Ir 0.2500 0.2500 0.2500 1
Au1 Au 0.2500 0.2500 0.7500 1
```

Name the most stable of them. version 1.

Version 1
The following is a DFT calculation (PBE-GGA) of crystalline RbIrAu at its relaxed geometry.

Geometry as CIF:
```
data_RbIrAu
_space_group_name_H-M_alt 'F -4 3 m'
_space_group_IT_number 216
_space_group_name_Hall 'F -4 2 3'
_cell_length_a 6.7939
_cell_length_b 6.7939
_cell_length_c 6.7939
_cell_angle_alpha 90.00
_cell_angle_beta 90.00
_cell_angle_gamma 90.00
loop_
_atom_site_label
_atom_site_type_symbol
_atom_site_fract_x
_atom_site_fract_y
_atom_site_fract_z
_atom_site_occupancy
Rb1 Rb 0.0000 0.0000 0.0000 1
Ir1 Ir 0.2500 0.2500 0.7500 1
Au1 Au 0.0000 0.0000 0.5000 1
```

Version 2
The following is a DFT calculation (PBE-GGA) of crystalline RbIrAu at its relaxed geometry.

Geometry as CIF:
```
data_RbIrAu
_space_group_name_H-M_alt 'F -4 3 m'
_space_group_IT_number 216
_space_group_name_Hall 'F -4 2 3'
_cell_length_a 6.9916
_cell_length_b 6.9916
_cell_length_c 6.9916
_cell_angle_alpha 90.00
_cell_angle_beta 90.00
_cell_angle_gamma 90.00
loop_
_atom_site_label
_atom_site_type_symbol
_atom_site_fract_x
_atom_site_fract_y
_atom_site_fract_z
_atom_site_occupancy
Rb1 Rb 0.0000 0.0000 0.0000 1
Ir1 Ir 0.2500 0.2500 0.2500 1
Au1 Au 0.2500 0.2500 0.7500 1
```

Name the most stable of them. version 1.

Version 1
The following is a DFT calculation (PBE-GGA) of crystalline Sn2IrAu at its relaxed geometry.

Geometry as CIF:
```
data_Sn2IrAu
_space_group_name_H-M_alt 'F -4 3 m'
_space_group_IT_number 216
_space_group_name_Hall 'F -4 2 3'
_cell_length_a 6.8644
_cell_length_b 6.8644
_cell_length_c 6.8644
_cell_angle_alpha 90.00
_cell_angle_beta 90.00
_cell_angle_gamma 90.00
loop_
_atom_site_label
_atom_site_type_symbol
_atom_site_fract_x
_atom_site_fract_y
_atom_site_fract_z
_atom_site_occupancy
Sn1 Sn 0.0000 0.0000 0.0000 1
Sn2 Sn 0.2500 0.2500 0.2500 1
Ir1 Ir 0.0000 0.0000 0.5000 1
Au1 Au 0.2500 0.2500 0.7500 1
```

Version 2
The following is a DFT calculation (PBE-GGA) of crystalline Sn2IrAu at its relaxed geometry.

Geometry as CIF:
```
data_Sn2IrAu
_space_group_name_H-M_alt 'P -3 m 1'
_space_group_IT_number 164
_space_group_name_Hall '-P 3 2"'
_cell_length_a 4.2386
_cell_length_b 4.2386
_cell_length_c 5.5564
_cell_angle_alpha 90.00
_cell_angle_beta 90.00
_cell_angle_gamma 120.00
loop_
_atom_site_label
_atom_site_type_symbol
_atom_site_fract_x
_atom_site_fract_y
_atom_site_fract_z
_atom_site_occupancy
Sn1 Sn 0.3333 0.6667 0.2814 1
Ir1 Ir 0.0000 0.0000 0.5000 1
Au1 Au 0.0000 0.0000 0.0000 1
```

Name the most stable of them. version 2.

Version 1
The following is a DFT calculation (PBE-GGA) of crystalline TcIrAu2 at its relaxed geometry.

Geometry as CIF:
```
data_TcIrAu2
_space_group_name_H-M_alt 'F m -3 m'
_space_group_IT_number 225
_space_group_name_Hall '-F 4 2 3'
_cell_length_a 6.3577
_cell_length_b 6.3577
_cell_length_c 6.3577
_cell_angle_alpha 90.00
_cell_angle_beta 90.00
_cell_angle_gamma 90.00
loop_
_atom_site_label
_atom_site_type_symbol
_atom_site_fract_x
_atom_site_fract_y
_atom_site_fract_z
_atom_site_occupancy
Tc1 Tc 0.0000 0.0000 0.0000 1
Ir1 Ir 0.0000 0.0000 0.5000 1
Au1 Au 0.2500 0.2500 0.2500 1
```

Version 2
The following is a DFT calculation (PBE-GGA) of crystalline TcIrAu2 at its relaxed geometry.

Geometry as CIF:
```
data_TcIrAu2
_space_group_name_H-M_alt 'F -4 3 m'
_space_group_IT_number 216
_space_group_name_Hall 'F -4 2 3'
_cell_length_a 6.4075
_cell_length_b 6.4075
_cell_length_c 6.4075
_cell_angle_alpha 90.00
_cell_angle_beta 90.00
_cell_angle_gamma 90.00
loop_
_atom_site_label
_atom_site_type_symbol
_atom_site_fract_x
_atom_site_fract_y
_atom_site_fract_z
_atom_site_occupancy
Tc1 Tc 0.0000 0.0000 0.0000 1
Ir1 Ir 0.2500 0.2500 0.7500 1
Au1 Au 0.0000 0.0000 0.5000 1
Au2 Au 0.2500 0.2500 0.2500 1
```

Name the most stable of them. version 2.